A plane-wave DFT calculation with PBE was carried out for a relaxed KZnBiSe3 crystal.

abc: 7.711 7.711 11.232
angles: 90.00 90.00 148.24
Fractional coordinates of all 12 atoms:
1 K 0.244 0.756 0.750
2 K 0.756 0.244 0.250
3 Zn 0.041 0.959 0.250
4 Zn 0.959 0.041 0.750
5 Bi 0.500 0.500 0.000
6 Bi 0.500 0.500 0.500
7 Se 0.131 0.869 0.065
8 Se 0.131 0.869 0.435
9 Se 0.437 0.563 0.250
10 Se 0.563 0.437 0.750
11 Se 0.869 0.131 0.565
12 Se 0.869 0.131 0.935

Output
E_tot: -3.556 eV/atom

=====

A plane-wave DFT calculation with PBE was carried out for a relaxed TmSc2Cu4Ge4 crystal.

abc: 7.769 7.769 7.769
angles: 149.89 129.34 60.06
Fractional coordinates of all 11 atoms:
1 Tm 0.000 0.000 0.000
2 Sc 0.373 0.873 0.500
3 Sc 0.627 0.127 0.500
4 Cu 0.022 0.328 0.693
5 Cu 0.365 0.672 0.693
6 Cu 0.635 0.328 0.307
7 Cu 0.978 0.672 0.307
8 Ge 0.220 0.220 0.000
9 Ge 0.311 0.500 0.811
10 Ge 0.689 0.500 0.189
11 Ge 0.780 0.780 0.000

Output
E_tot: -5.180 eV/atom
size of the total moment: 0.00 μB/cell

=====

A plane-wave DFT calculation with PBE was carried out for a relaxed CuSbPb crystal.

abc: 9.509 4.464 6.927
angles: 90.00 90.00 90.00
Fractional coordinates of all 12 atoms:
1 Cu 0.154 0.250 0.118
2 Cu 0.346 0.750 0.618
3 Cu 0.654 0.250 0.382
4 Cu 0.846 0.750 0.882
5 Sb 0.141 0.750 0.893
6 Sb 0.359 0.250 0.393
7 Sb 0.641 0.750 0.607
8 Sb 0.859 0.250 0.107
9 Pb 0.102 0.750 0.370
10 Pb 0.398 0.250 0.870
11 Pb 0.602 0.750 0.130
12 Pb 0.898 0.250 0.630

Output
E_tot: -3.800 eV/atom

=====

A plane-wave DFT calculation with PBE was carried out for a relaxed ErAl3 crystal.

abc: 4.231 4.231 4.231
angles: 90.00 90.00 90.00
Fractional coordinates of all 4 atoms:
1 Er 0.000 0.000 0.000
2 Al 0.000 0.500 0.500
3 Al 0.500 0.000 0.500
4 Al 0.500 0.500 0.000

Output
E_tot: -4.366 eV/atom
size of the total moment: 0.00 μB/cell